{
  "formula": "VBiOF2",
  "functional": "GGA+U",
  "state": "relaxed",
  "polymorph_energy_mev_per_atom": 0,
  "energy_ev_per_atom": -5.61,
  "n_ef_per_ev_atom": 0.5130,
  "lattice_angstrom": [[4.1636, 0.0000, 0.0000], [0.0000, 4.1636, 0.0000], [0.0000, 0.0000, 4.0850]],
  "species": ["V", "Bi", "O", "F", "F"],
  "frac_coords": [[0.0000, 0.0000, 0.0000], [0.5000, 0.5000, 0.5000], [0.0000, 0.0000, 0.5000], [0.0000, 0.5000, 0.0000], [0.5000, 0.0000, 0.0000]]
}